# 1
# LiMnTe2 | Alexandria via LeMat-Bulk | PBE-GGA | optimized geometry
# Calculated density: 5.34 g cm⁻³
# V: 24.6 A^3/atom
# Uncorrected energy: -4.773 eV per atom
data_LiMnTe2
_chemical_formula_sum 'Li3 Mn3 Te6'
_cell_length_a 4.0111
_cell_length_b 4.0111
_cell_length_c 21.2257
_cell_angle_alpha 90.00
_cell_angle_beta 90.00
_cell_angle_gamma 120.00
_space_group_name_H-M_alt 'R 3 m'
_space_group_IT_number 160
_space_group_name_Hall 'R 3 -2"'
loop_
_atom_site_label
_atom_site_type_symbol
_atom_site_fract_x
_atom_site_fract_y
_atom_site_fract_z
_atom_site_occupancy
Li1 Li 0.0000 0.0000 0.0000 1
Mn1 Mn 0.0000 0.0000 0.1624 1
Te1 Te 0.0000 0.0000 0.5696 1
Te2 Te 0.0000 0.0000 0.7547 1

=====

# 2
# Sr2Li2Zn | Alexandria via LeMat-Bulk | PBE-GGA | optimized geometry
# Calculated density: 2.69 g cm⁻³
# V: 31.4 A^3/atom
# Uncorrected energy: -1.711 eV per atom
# ΔH_f (0 K): -0.018 eV/atom
# Offset from the most stable computed form: 47 meV/atom
data_Sr2Li2Zn
_chemical_formula_sum 'Sr4 Li4 Zn2'
_cell_length_a 3.974
_cell_length_b 3.974
_cell_length_c 19.888
_cell_angle_alpha 90.00
_cell_angle_beta 90.00
_cell_angle_gamma 90.00
_space_group_name_H-M_alt 'I 4/m m m'
_space_group_IT_number 139
_space_group_name_Hall '-I 4 2'
loop_
_atom_site_label
_atom_site_type_symbol
_atom_site_fract_x
_atom_site_fract_y
_atom_site_fract_z
_atom_site_occupancy
Sr1 Sr 0.000 0.000 0.095 1
Li1 Li 0.000 0.500 0.250 1
Zn1 Zn 0.000 0.000 0.500 1

=====

# 3
# La2BiTe | Alexandria via LeMat-Bulk | PBE-GGA | optimized geometry
# Calculated density: 7.20 g cm⁻³
# V: 35.4 A^3/atom
# Uncorrected energy: -5.570 eV per atom
# Offset from the most stable computed form: 0 meV/atom
data_La2BiTe
_chemical_formula_sum 'La8 Bi4 Te4'
_cell_length_a 6.570
_cell_length_b 6.570
_cell_length_c 13.130
_cell_angle_alpha 90.00
_cell_angle_beta 90.00
_cell_angle_gamma 90.00
_space_group_name_H-M_alt 'I 41/a m d'
_space_group_IT_number 141
loop_
_space_group_symop_operation_xyz
'x,y,z'
'-x,-y,-z'
'-y+1/4,x+3/4,z+1/4'
'y+1/4,-x+3/4,-z+1/4'
'-x+1/2,-y,z+1/2'
'x+1/2,y,-z+1/2'
'y+1/4,-x+1/4,z+3/4'
'-y+1/4,x+1/4,-z+3/4'
'x,-y,-z'
'-x,y,z'
'-y+1/4,-x+1/4,-z+3/4'
'y+1/4,x+1/4,z+3/4'
'-x+1/2,y,-z+1/2'
'x+1/2,-y,z+1/2'
'y+1/4,x+3/4,-z+1/4'
'-y+1/4,-x+3/4,z+1/4'
'x+1/2,y+1/2,z+1/2'
'-x+1/2,-y+1/2,-z+1/2'
'-y+3/4,x+1/4,z+3/4'
'y+3/4,-x+1/4,-z+3/4'
'-x,-y+1/2,z'
'x,y+1/2,-z'
'y+3/4,-x+3/4,z+1/4'
'-y+3/4,x+3/4,-z+1/4'
'x+1/2,-y+1/2,-z+1/2'
'-x+1/2,y+1/2,z+1/2'
'-y+3/4,-x+3/4,-z+1/4'
'y+3/4,x+3/4,z+1/4'
'-x,y+1/2,-z'
'x,-y+1/2,z'
'y+3/4,x+1/4,-z+3/4'
'-y+3/4,-x+1/4,z+3/4'
loop_
_atom_site_label
_atom_site_type_symbol
_atom_site_fract_x
_atom_site_fract_y
_atom_site_fract_z
_atom_site_occupancy
La1 La 0.000 0.250 0.125 1
Bi1 Bi 0.000 0.250 0.375 1
Te1 Te 0.000 0.250 0.875 1